[1]
Here is ScSb after structural relaxation from Alexandria. Energies are from GGA-PBEsol.

Output
- raw total energy (eV/atom) = -6.36
- mass density (g/cm3) = 6.2

Cell: 5.879 5.879 5.879 Å, 138.31 138.31 60.42°
Positions (direct):
Sc1 0.375 0.625 0.750
Sc2 0.625 0.375 0.250
Sb1 0.125 0.875 0.250
Sb2 0.875 0.125 0.750



[2]
Here is Sc5Sb after structural relaxation from Alexandria. Energies are from GGA-PBEsol.

Output
- raw total energy (eV/atom) = -6.60
- polymorph energy (0 for the lowest one) (meV/atom) = 11.9
- mass density (g/cm3) = 4.3

Cell: 5.556 5.556 5.018 Å, 90.00 90.00 120.00°
Positions (direct):
Sc1 0.000 0.683 0.000
Sc2 0.317 0.317 0.000
Sc3 0.333 0.667 0.500
Sc4 0.667 0.333 0.500
Sc5 0.683 0.000 0.000
Sb1 0.000 0.000 0.500



[3]
Here is ScSb after structural relaxation from Alexandria. Energies are from GGA-PBEsol.

Output
- raw total energy (eV/atom) = -6.56
- mass density (g/cm3) = 5.7

Cell: 4.103 4.103 4.103 Å, 60.00 60.00 60.00°
Positions (direct):
Sc1 0.000 0.000 0.000
Sb1 0.500 0.500 0.500



[4]
Here is Sc5Sb after structural relaxation from Alexandria. Energies are from GGA-PBEsol.

Output
- raw total energy (eV/atom) = -6.61
- polymorph energy (0 for the lowest one) (meV/atom) = 0.0
- mass density (g/cm3) = 4.3

Cell: 7.169 7.169 4.438 Å, 90.00 90.00 144.08°
Positions (direct):
Sc1 0.000 0.000 0.000
Sc2 0.162 0.838 0.500
Sc3 0.329 0.671 0.000
Sc4 0.671 0.329 0.000
Sc5 0.838 0.162 0.500
Sb1 0.500 0.500 0.500



[5]
Here is ScSb after structural relaxation from Alexandria. Energies are from GGA-PBEsol.

Output
- raw total energy (eV/atom) = -5.96
- mass density (g/cm3) = 4.0

Cell: 4.608 4.608 4.608 Å, 60.00 60.00 60.00°
Positions (direct):
Sc1 0.000 0.000 0.000
Sb1 0.250 0.250 0.250



[6]
Here is Sc5Sb3 after structural relaxation from Alexandria. Energies are from GGA-PBEsol.

Output
- raw total energy (eV/atom) = -6.76
- polymorph energy (0 for the lowest one) (meV/atom) = 0.0
- mass density (g/cm3) = 5.6

Cell: 8.356 8.356 5.836 Å, 90.00 90.00 120.00°
Positions (direct):
Sc1 0.000 0.246 0.250
Sc2 0.000 0.754 0.750
Sc3 0.246 0.000 0.250
Sc4 0.246 0.246 0.750
Sc5 0.333 0.667 0.000
Sc6 0.333 0.667 0.500
Sc7 0.667 0.333 0.000
Sc8 0.667 0.333 0.500
Sc9 0.754 0.000 0.750
Sc10 0.754 0.754 0.250
Sb1 0.000 0.388 0.750
Sb2 0.000 0.612 0.250
Sb3 0.388 0.000 0.750
Sb4 0.388 0.388 0.250
Sb5 0.612 0.000 0.250
Sb6 0.612 0.612 0.750



[7]
Here is Sc5Sb3 after structural relaxation from Alexandria. Energies are from GGA-PBEsol.

Output
- raw total energy (eV/atom) = -6.67
- polymorph energy (0 for the lowest one) (meV/atom) = 88.2
- mass density (g/cm3) = 5.6

Cell: 8.327 8.327 8.327 Å, 96.90 96.90 139.44°
Positions (direct):
Sc1 0.079 0.778 0.856
Sc2 0.222 0.079 0.301
Sc3 0.250 0.750 0.500
Sc4 0.278 0.579 0.856
Sc5 0.421 0.278 0.699
Sc6 0.579 0.722 0.301
Sc7 0.722 0.421 0.144
Sc8 0.750 0.250 0.500
Sc9 0.778 0.921 0.699
Sc10 0.921 0.222 0.144
Sb1 0.163 0.337 0.500
Sb2 0.250 0.250 0.000
Sb3 0.337 0.837 0.174
Sb4 0.663 0.163 0.826
Sb5 0.750 0.750 0.000
Sb6 0.837 0.663 0.500



[8]
Here is Sc5Sb3 after structural relaxation from Alexandria. Energies are from GGA-PBEsol.

Output
- raw total energy (eV/atom) = -6.75
- polymorph energy (0 for the lowest one) (meV/atom) = 7.0
- mass density (g/cm3) = 5.5

Cell: 10.980 8.669 7.552 Å, 90.00 90.00 90.00°
Positions (direct):
Sc1 0.005 0.250 0.024
Sc2 0.065 0.060 0.695
Sc3 0.065 0.440 0.695
Sc4 0.213 0.750 0.342
Sc5 0.231 0.250 0.324
Sc6 0.269 0.750 0.824
Sc7 0.287 0.250 0.842
Sc8 0.435 0.560 0.195
Sc9 0.435 0.940 0.195
Sc10 0.495 0.750 0.524
Sc11 0.505 0.250 0.476
Sc12 0.565 0.060 0.805
Sc13 0.565 0.440 0.805
Sc14 0.713 0.750 0.158
Sc15 0.731 0.250 0.176
Sc16 0.769 0.750 0.676
Sc17 0.787 0.250 0.658
Sc18 0.935 0.560 0.305
Sc19 0.935 0.940 0.305
Sc20 0.995 0.750 0.976
Sb1 0.024 0.750 0.594
Sb2 0.175 0.510 0.064
Sb3 0.175 0.990 0.064
Sb4 0.325 0.010 0.564
Sb5 0.325 0.490 0.564
Sb6 0.476 0.250 0.094
Sb7 0.524 0.750 0.906
Sb8 0.675 0.510 0.436
Sb9 0.675 0.990 0.436
Sb10 0.825 0.010 0.936
Sb11 0.825 0.490 0.936
Sb12 0.976 0.250 0.406



[9]
Here is ScSb2Se after structural relaxation from Alexandria. Energies are from GGA-PBEsol.

Output
- raw total energy (eV/atom) = -5.50
- mass density (g/cm3) = 6.2

Cell: 7.350 7.350 7.350 Å, 151.64 148.23 43.10°
Positions (direct):
Sc1 0.000 0.000 0.000
Sb1 0.201 0.701 0.500
Sb2 0.799 0.299 0.500
Se1 0.500 0.500 0.000



[10]
Here is Sc2Sb2Se after structural relaxation from Alexandria. Energies are from GGA-PBEsol.

Output
- raw total energy (eV/atom) = -5.87
- mass density (g/cm3) = 5.7

Cell: 7.803 7.803 7.803 Å, 149.70 149.70 43.38°
Positions (direct):
Sc1 0.102 0.102 0.000
Sc2 0.898 0.898 0.000
Sb1 0.250 0.750 0.500
Sb2 0.750 0.250 0.500
Se1 0.500 0.500 0.000



[11]
Here is ScSb2Se after structural relaxation from Alexandria. Energies are from GGA-PBEsol.

Output
- raw total energy (eV/atom) = -5.33
- mass density (g/cm3) = 6.6

Cell: 4.013 3.988 5.837 Å, 90.00 96.56 90.00°
Positions (direct):
Sc1 0.000 0.000 0.000
Sb1 0.449 0.500 0.755
Sb2 0.551 0.500 0.245
Se1 0.000 0.000 0.500



[12]
Here is ScSb2Se after structural relaxation from Alexandria. Energies are from GGA-PBEsol.

Output
- raw total energy (eV/atom) = -5.37
- mass density (g/cm3) = 6.2

Cell: 12.042 12.042 12.042 Å, 160.42 160.42 27.83°
Positions (direct):
Sc1 0.000 0.000 0.000
Sc2 0.750 0.250 0.500
Sb1 0.116 0.625 0.991
Sb2 0.375 0.366 0.491
Sb3 0.634 0.125 0.009
Sb4 0.875 0.884 0.509
Se1 0.250 0.750 0.500
Se2 0.500 0.500 0.000



> Which formula does entry 1 have?

ScSb



> The highest raw total energy belongs to which entry?

number 11



> Which of these has the highest mass density?

number 11



> Which of these has the lowest mass density?

number 5